Rb3HS2O8 | PBE | optimized geometry

a = 15.5833 Å, b = 6.0524 Å, c = 10.2909 Å
α = 90.00°, β = 103.27°, γ = 90.00°
Closest atoms and distances in Å follow each position.
Space group Cc (No. 9)
One atom of each set of equivalent atoms:
Rb: 0.0000 0.2172 0.0000  9 O 3.02-3.22, 1 H 3.38
Rb: 0.1234 0.2812 0.6947  9 O 3.03-3.21
Rb: 0.3147 0.2580 0.0976  7 O 2.89-3.22, 2 H 3.01
H: 0.3110 0.0219 0.3542  1 O 1.11
S: 0.1958 0.2161 0.3811  4 O 1.47-1.58
S: 0.4257 0.2140 0.8128  4 O 1.48-1.54
O: 0.1606 0.0238 0.4401  1 S 1.48
O: 0.1610 0.2292 0.2350  1 S 1.48
O: 0.1870 0.4247 0.4497  1 S 1.47
O: 0.2988 0.1774 0.4033  1 H 1.11
O: 0.3264 0.1708 0.7936  1 H 1.37
O: 0.4374 0.4230 0.7445  1 S 1.48
O: 0.4644 0.0230 0.7551  1 S 1.49
O: 0.4641 0.2292 0.9593  1 S 1.49

Output
The calculation puts the uncorrected energy at -5.587 eV per atom. As for the offset from the most stable computed form: 0 meV per atom.

RbHS2O8 | PBE | optimized geometry

a = 12.2942 Å, b = 4.7836 Å, c = 7.7498 Å
α = 90.00°, β = 124.61°, γ = 90.00°
Closest atoms and distances in Å follow each position.
Space group C2/m (No. 12)
One atom of each set of equivalent atoms:
Rb: 0.0000 0.0000 0.0000  6 O 2.84-3.08
H: 0.0000 0.5000 0.5000  4 O 1.68
S: 0.1717 0.0000 0.6422  4 O 1.45-1.52
O: 0.1045 0.2524 0.6636  1 S 1.52, 1 H 1.68
O: 0.1594 0.0000 0.4451  1 S 1.45
O: 0.1917 0.5000 0.1699  1 S 1.47

Output
The calculation puts the uncorrected energy at -5.307 eV per atom.

Look up the uncorrected energy of the second one. -5.307 eV per atom

Look up the uncorrected energy of the second one. -5.307 eV per atom

Which of these has the highest uncorrected energy? RbHS2O8